Entry 1:
The following is a DFT calculation (PBE) of a geometry-optimized Ba8GaAg2 structure.

The space group is C2/m (No. 12) and the conventional cell measures 21.393, 5.884 and 8.240 Å, with angles of 90.00, 105.46 and 90.00 degrees. Symmetry generates all atoms from Ba at (0.035, 0.000, 0.306), Ba at (0.089, 0.500, 0.931), Ba at (0.165, 0.500, 0.468), Ba at (0.208, 0.000, 0.829), Ga at (0.000, 0.500, 0.500) and Ag at (0.189, 0.000, 0.223).

Its density of states at the Fermi level is 30.0 states/eV/cell. Its polymorph energy (0 for the lowest one) is 0.000 eV per formula unit. For the formation energy, the calculation gives -0.1205 eV/atom. The calculation puts the calculated total energy at -0.1700 Ry per atom.

***

Entry 2:
The following is a DFT calculation (PBE) of a geometry-optimized Ba2GaAg structure.

The space group is Cm (No. 8) and the conventional cell measures 8.318, 4.804 and 8.779 Å, with angles of 90.00, 108.31 and 90.00 degrees. Symmetry generates all atoms from Ba at (0.000, 0.000, 0.000), Ba at (0.165, 0.000, 0.498), Ga at (0.249, 0.500, 0.248) and Ag at (0.416, 0.000, 0.249).

Its density of states at the Fermi level is 3.8 states/eV/cell. For the formation energy, the calculation gives -0.3000 eV/atom. The calculation puts the calculated total energy at -0.2007 Ry per atom.

***

Entry 3:
The following is a DFT calculation (PBE) of a geometry-optimized BaGa2Ag3 structure.

The space group is C2/m (No. 12) and the conventional cell measures 17.328, 4.455 and 7.999 Å, with angles of 90.00, 114.85 and 90.00 degrees. Symmetry generates all atoms from Ba at (0.154, 0.000, 0.069), Ga at (0.020, 0.500, 0.175), Ga at (0.188, 0.000, 0.662), Ag at (0.035, 0.000, 0.366), Ag at (0.089, 0.500, 0.663) and Ag at (0.182, 0.500, 0.440).

Its density of states at the Fermi level is 13.3 states/eV/cell. For the formation energy, the calculation gives -0.2244 eV/atom. The calculation puts the calculated total energy at -0.2190 Ry per atom.

***

Entry 4:
The following is a DFT calculation (PBE) of a geometry-optimized Ba2Ga5Ag3 structure.

The space group is P-4m2 (No. 115) and the conventional cell measures 4.612, 4.612 and 11.324 Å, with angles of 90.00, 90.00 and 90.00 degrees. Symmetry generates all atoms from Ba at (0.000, 0.500, 0.245), Ga at (0.000, 0.000, 0.000), Ga at (0.000, 0.000, 0.500), Ga at (0.000, 0.500, 0.873), Ga at (0.500, 0.500, 0.000), Ag at (0.000, 0.500, 0.637) and Ag at (0.500, 0.500, 0.500).

Its density of states at the Fermi level is 4.4 states/eV/cell. Its polymorph energy (0 for the lowest one) is 0.096 eV per formula unit. For the formation energy, the calculation gives -0.3250 eV/atom. The calculation puts the calculated total energy at -0.2263 Ry per atom.

***

Entry 5:
The following is a DFT calculation (PBE) of a geometry-optimized Ba8GaAg2 structure.

The space group is Cm (No. 8) and the conventional cell measures 10.203, 15.045 and 7.439 Å, with angles of 90.00, 108.70 and 90.00 degrees. Symmetry generates all atoms from Ba at (0.000, 0.000, 0.000), Ba at (0.059, 0.369, 0.787), Ba at (0.140, 0.135, 0.559), Ba at (0.199, 0.500, 0.382), Ba at (0.342, 0.203, 0.183), Ga at (0.356, 0.000, 0.412) and Ag at (0.354, 0.315, 0.690).

Its density of states at the Fermi level is 30.1 states/eV/cell. Its polymorph energy (0 for the lowest one) is 0.269 eV per formula unit. For the formation energy, the calculation gives -0.0960 eV/atom. The calculation puts the calculated total energy at -0.1682 Ry per atom.

***

Entry 6:
The following is a DFT calculation (PBE) of a geometry-optimized Ba2GaAg structure.

The space group is R-3m (No. 166, hexagonal axes) and the conventional cell measures 4.5858, 4.5858 and 32.3446 Å, with angles of 90.00, 90.00 and 120.00 degrees. Symmetry generates all atoms from Ba at (0.0000, 0.0000, 0.1051), Ga at (0.0000, 0.0000, 0.0000) and Ag at (0.0000, 0.0000, 0.5000).

Its density of states at the Fermi level is 8.5 states/eV/cell. For the formation energy, the calculation gives 0.1963 eV/atom. The calculation puts the calculated total energy at -0.1642 Ry per atom.

***

Entry 7:
The following is a DFT calculation (PBE) of a geometry-optimized BaGa9Ag3 structure.

The space group is C2/m (No. 12) and the conventional cell measures 5.707, 14.116 and 7.106 Å, with angles of 90.00, 113.17 and 90.00 degrees. Symmetry generates all atoms from Ba at (0.000, 0.000, 0.000), Ga at (0.000, 0.000, 0.500), Ga at (0.114, 0.386, 0.229), Ga at (0.173, 0.180, 0.356), Ag at (0.000, 0.500, 0.500) and Ag at (0.250, 0.250, 0.000).

Its density of states at the Fermi level is 8.4 states/eV/cell. For the formation energy, the calculation gives -0.1254 eV/atom. The calculation puts the calculated total energy at -0.2225 Ry per atom.

***

Entry 8:
The following is a DFT calculation (PBE) of a geometry-optimized BaGa2Ag structure.

The space group is Fm-3m (No. 225) and the conventional cell measures 7.354, 7.354 and 7.354 Å, with angles of 90.00, 90.00 and 90.00 degrees. Symmetry generates all atoms from Ba at (0.000, 0.000, 0.000), Ga at (0.250, 0.250, 0.250) and Ag at (0.000, 0.000, 0.500).

Its density of states at the Fermi level is 10.8 states/eV/cell. For the formation energy, the calculation gives -0.1084 eV/atom. The calculation puts the calculated total energy at -0.2069 Ry per atom.

***

Entry 9:
The following is a DFT calculation (PBE) of a geometry-optimized BaGa6Ag12 structure.

The space group is R-3m (No. 166, hexagonal axes) and the conventional cell measures 11.9092, 11.9092 and 9.3322 Å, with angles of 90.00, 90.00 and 120.00 degrees. Symmetry generates all atoms from Ba at (0.0000, 0.0000, 0.0000), Ga at (0.0395, 0.5198, 0.2600), Ag at (0.0000, 0.3819, 0.5000) and Ag at (0.0852, 0.1705, 0.3300).

Its density of states at the Fermi level is 19.9 states/eV/cell. For the formation energy, the calculation gives -0.0294 eV/atom. The calculation puts the calculated total energy at -0.2122 Ry per atom.

***

Entry 10:
The following is a DFT calculation (PBE) of a geometry-optimized BaGa2Ag structure.

The space group is I-42d (No. 122) and the conventional cell measures 5.081, 5.081 and 18.510 Å, with angles of 90.00, 90.00 and 90.00 degrees. Symmetry generates all atoms from Ba at (0.000, 0.000, 0.000), Ga at (0.052, 0.250, 0.625) and Ag at (0.000, 0.000, 0.500).

Its density of states at the Fermi level is 12.8 states/eV/cell. For the formation energy, the calculation gives -0.2068 eV/atom. The calculation puts the calculated total energy at -0.2142 Ry per atom.

***

Entry 11:
The following is a DFT calculation (PBE) of a geometry-optimized Ba3Ga9Ag2 structure.

The space group is Immm (No. 71) and the conventional cell measures 4.657, 10.108 and 14.036 Å, with angles of 90.00, 90.00 and 90.00 degrees. Symmetry generates all atoms from Ba at (0.000, 0.000, 0.000), Ba at (0.000, 0.000, 0.308), Ga at (0.000, 0.272, 0.149), Ga at (0.000, 0.364, 0.337), Ga at (0.000, 0.500, 0.000) and Ag at (0.000, 0.208, 0.500).

Its density of states at the Fermi level is 7.8 states/eV/cell. For the formation energy, the calculation gives -0.3409 eV/atom. The calculation puts the calculated total energy at -0.2283 Ry per atom.

***

Entry 12:
The following is a DFT calculation (PBE) of a geometry-optimized BaGa3Ag2 structure.

The space group is Cmcm (No. 63) and the conventional cell measures 10.910, 8.711 and 5.730 Å, with angles of 90.00, 90.00 and 90.00 degrees. Symmetry generates all atoms from Ba at (0.000, 0.173, 0.250), Ga at (0.000, 0.425, 0.750), Ga at (0.183, 0.225, 0.750) and Ag at (0.213, 0.500, 0.000).

Its density of states at the Fermi level is 7.8 states/eV/cell. For the formation energy, the calculation gives -0.2664 eV/atom. The calculation puts the calculated total energy at -0.2242 Ry per atom.

***

Entry 13:
The following is a DFT calculation (PBE) of a geometry-optimized Ba2Ga7Ag structure.

The space group is P-4m2 (No. 115) and the conventional cell measures 4.596, 4.596 and 11.012 Å, with angles of 90.00, 90.00 and 90.00 degrees. Symmetry generates all atoms from Ba at (0.000, 0.500, 0.245), Ga at (0.000, 0.000, 0.000), Ga at (0.000, 0.500, 0.631), Ga at (0.000, 0.500, 0.872), Ga at (0.500, 0.500, 0.000), Ga at (0.500, 0.500, 0.500) and Ag at (0.000, 0.000, 0.500).

Its density of states at the Fermi level is 3.4 states/eV/cell. For the formation energy, the calculation gives -0.4120 eV/atom. The calculation puts the calculated total energy at -0.2352 Ry per atom.

***

Entry 14:
The following is a DFT calculation (PBE) of a geometry-optimized Ba12GaAg6 structure.

The space group is R-3 (No. 148, hexagonal axes) and the conventional cell measures 15.2919, 15.2919 and 13.5856 Å, with angles of 90.00, 90.00 and 120.00 degrees. Symmetry generates all atoms from Ba at (0.0286, 0.2119, 0.3882), Ba at (0.0382, 0.2049, 0.8860), Ga at (0.0000, 0.0000, 0.0000) and Ag at (0.0431, 0.2630, 0.6435).

Its density of states at the Fermi level is 49.9 states/eV/cell. Its polymorph energy (0 for the lowest one) is 0.709 eV per formula unit. For the formation energy, the calculation gives -0.1318 eV/atom. The calculation puts the calculated total energy at -0.1768 Ry per atom.

***

Entry 15:
The following is a DFT calculation (PBE) of a geometry-optimized BaGa5Ag7 structure.

The space group is Imm2 (No. 44) and the conventional cell measures 5.448, 9.684 and 9.622 Å, with angles of 90.00, 90.00 and 90.00 degrees. Symmetry generates all atoms from Ba at (0.000, 0.000, 0.000), Ga at (0.000, 0.500, 0.271), Ga at (0.248, 0.251, 0.748), Ag at (0.000, 0.000, 0.355), Ag at (0.000, 0.000, 0.653), Ag at (0.000, 0.276, 0.498), Ag at (0.000, 0.353, 0.001) and Ag at (0.000, 0.500, 0.724).

Its density of states at the Fermi level is 12.5 states/eV/cell. For the formation energy, the calculation gives -0.1086 eV/atom. The calculation puts the calculated total energy at -0.2173 Ry per atom.

***

Entry 16:
The following is a DFT calculation (PBE) of a geometry-optimized BaGa2Ag3 structure.

The space group is Cmcm (No. 63) and the conventional cell measures 11.037, 8.902 and 5.630 Å, with angles of 90.00, 90.00 and 90.00 degrees. Symmetry generates all atoms from Ba at (0.000, 0.175, 0.250), Ga at (0.208, 0.500, 0.000), Ag at (0.000, 0.436, 0.750) and Ag at (0.193, 0.223, 0.750).

Its density of states at the Fermi level is 10.3 states/eV/cell. For the formation energy, the calculation gives -0.2492 eV/atom. The calculation puts the calculated total energy at -0.2208 Ry per atom.

***

Entry 17:
The following is a DFT calculation (PBE) of a geometry-optimized Ba2GaAg structure.

The space group is P2_1/m (No. 11) and the conventional cell measures 6.386, 4.880 and 9.629 Å, with angles of 90.00, 103.86 and 90.00 degrees. Symmetry generates all atoms from Ba at (0.211, 0.250, 0.424), Ba at (0.278, 0.750, 0.068), Ga at (0.175, 0.250, 0.773) and Ag at (0.333, 0.750, 0.724).

Its density of states at the Fermi level is 5.2 states/eV/cell. For the formation energy, the calculation gives -0.2950 eV/atom. The calculation puts the calculated total energy at -0.2004 Ry per atom.

***

Entry 18:
The following is a DFT calculation (PBE) of a geometry-optimized BaGa3Ag3 structure.

The space group is P2_1/m (No. 11) and the conventional cell measures 7.625, 4.635 and 9.401 Å, with angles of 90.00, 107.16 and 90.00 degrees. Symmetry generates all atoms from Ba at (0.099, 0.250, 0.328), Ga at (0.104, 0.250, 0.953), Ga at (0.332, 0.750, 0.611), Ga at (0.452, 0.750, 0.381), Ag at (0.259, 0.750, 0.092), Ag at (0.288, 0.250, 0.757) and Ag at (0.484, 0.250, 0.093).

Its density of states at the Fermi level is 6.1 states/eV/cell. Its polymorph energy (0 for the lowest one) is 0.000 eV per formula unit. For the formation energy, the calculation gives -0.2073 eV/atom. The calculation puts the calculated total energy at -0.2206 Ry per atom.

***

Entry 19:
The following is a DFT calculation (PBE) of a geometry-optimized BaGa3Ag3 structure.

The space group is R-3 (No. 148, hexagonal axes) and the conventional cell measures 6.9887, 6.9887 and 23.4177 Å, with angles of 90.00, 90.00 and 120.00 degrees. Symmetry generates all atoms from Ba at (0.0000, 0.0000, 0.1598), Ga at (0.0135, 0.2248, 0.5854) and Ag at (0.0537, 0.4546, 0.3697).

Its density of states at the Fermi level is 20.7 states/eV/cell. Its polymorph energy (0 for the lowest one) is 0.681 eV per formula unit. For the formation energy, the calculation gives -0.1100 eV/atom. The calculation puts the calculated total energy at -0.2134 Ry per atom.

***

Entry 20:
The following is a DFT calculation (PBE) of a geometry-optimized BaGa2Ag9 structure.

The space group is P6/mmm (No. 191) and the conventional cell measures 9.1978, 9.1978 and 3.2902 Å, with angles of 90.00, 90.00 and 120.00 degrees. Symmetry generates all atoms from Ba at (0.0000, 0.0000, 0.0000), Ga at (0.3333, 0.6667, 0.0000), Ag at (0.0000, 0.5000, 0.0000) and Ag at (0.1913, 0.3827, 0.5000).

Its density of states at the Fermi level is 5.3 states/eV/cell. Its polymorph energy (0 for the lowest one) is 1.386 eV per formula unit. For the formation energy, the calculation gives 0.0060 eV/atom. The calculation puts the calculated total energy at -0.2056 Ry per atom.